No. 1
The following is a DFT calculation (PBE) of a relaxed structure of Sr4Tl.

Cell and atoms, written as POSCAR:
```
Sr4Tl
1.0
-3.9882 3.9882 3.9882
3.9882 -3.9882 3.9882
3.9882 3.9882 -3.9882
Sr Tl
4 1
Cartesian
1.9941 -1.9941 1.9941
1.9941 1.9941 1.9941
-1.9941 1.9941 1.9941
1.9941 1.9941 -1.9941
0.0000 0.0000 0.0000
```

formation energy from the elements	15	meV/atom
calculated total energy	-1.804	eV per atom
Fermi-level density of states	5.2	states/eV per cell
calculated volume	50.75	A^3/atom
distance to the lowest polymorph of the same formula	142	meV/atom
space-group type	Im-3m

***

No. 2
The following is a DFT calculation (PBE) of a relaxed structure of KMoP2.

Cell and atoms, written as POSCAR:
```
KMoP2
1.0
-0.9246 -2.5283 2.1257
2.6873 -1.4679 -0.5770
3.3585 3.8038 5.9849
P Mo K
2 1 1
Cartesian
3.1708 3.0281 4.9806
0.5514 -0.6804 2.1981
4.4799 1.5138 6.5165
3.3005 0.9178 2.5271
```

formation energy from the elements	-220	meV/atom
calculated total energy	-5.907	eV per atom
Fermi-level density of states	1.8	states/eV per cell
calculated volume	20.97	A^3/atom
distance to the lowest polymorph of the same formula	83	meV/atom
space-group type	Pmm2

***

No. 3
The following is a DFT calculation (PBE) of a relaxed structure of Ce7SbRh2.

Cell and atoms, written as POSCAR:
```
Ce7SbRh2
1.0
-1.0597 1.7990 4.6409
3.7187 -6.2738 3.2812
5.3635 5.8402 -1.0392
Sb Rh Ce
1 2 7
Cartesian
0.0000 0.0000 0.0000
4.3415 3.1147 2.5741
3.6810 -1.7493 4.3088
4.1565 -3.0492 2.1312
4.9257 2.6156 0.1108
1.0000 -0.4766 3.2033
4.0112 0.6827 3.4414
1.3516 2.1128 2.2797
6.6708 -0.7474 4.6031
7.0225 1.8421 3.6796
```

calculated total energy	-6.292	eV per atom
Fermi-level density of states	31.7	states/eV per cell
calculated volume	30.90	A^3/atom
E_form (uncorrected)	-0.256	eV/atom
space-group type	Cmmm

***

No. 4
The following is a DFT calculation (PBE) of a relaxed structure of Tl2Te.

Cell and atoms, written as POSCAR:
```
Tl2Te
1.0
-3.3544 -1.7076 -3.4183
-0.6161 -4.2474 2.7264
-3.3411 1.9605 2.2993
Te Tl
1 2
Cartesian
0.0000 0.0000 0.0000
-3.3478 0.1264 -0.5595
-1.9786 -1.1434 2.5128
```

calculated total energy	-2.764	eV per atom
Fermi-level density of states	2.2	states/eV per cell
calculated volume	38.82	A^3/atom
distance to the lowest polymorph of the same formula	158	meV/atom
E_form (uncorrected)	-0.140	eV/atom
space-group type	P4/mmm

***

No. 5
The following is a DFT calculation (PBE) of a relaxed structure of Mn2BeAs.

Cell and atoms, written as POSCAR:
```
Mn2BeAs
1.0
-3.7622 4.6551 -1.9050
-5.4277 3.1459 0.3107
-3.2377 5.2585 1.1480
Mn As Be
2 1 1
Cartesian
-6.0822 6.3915 -0.2184
-0.1316 0.1383 -0.0047
-3.1069 3.2649 -0.1116
-9.3207 9.7946 -0.3347
```

formation energy from the elements	205	meV/atom
calculated total energy	-6.474	eV per atom
Fermi-level density of states	1.0	states/eV per cell
calculated volume	12.96	A^3/atom
distance to the lowest polymorph of the same formula	247	meV/atom
space-group type	R-3m

***

No. 6
The following is a DFT calculation (PBE) of a relaxed structure of YIrRu2.

Cell and atoms, written as POSCAR:
```
YIrRu2
1.0
3.2676 0.0000 0.0000
0.0000 3.2676 0.0000
0.0000 0.0000 6.5140
Ru Y Ir
2 1 1
Cartesian
0.0000 0.0000 3.5456
0.0000 0.0000 6.2254
1.6338 1.6338 1.6285
1.6338 1.6338 4.8855
```

formation energy from the elements	169	meV/atom
calculated total energy	-8.300	eV per atom
Fermi-level density of states	5.9	states/eV per cell
calculated volume	17.39	A^3/atom
distance to the lowest polymorph of the same formula	182	meV/atom
space-group type	P4/mmm

***

No. 7
The following is a DFT calculation (PBE) of a relaxed structure of NdCd3Pd3.

Cell and atoms, written as POSCAR:
```
NdCd3Pd3
1.0
-3.3029 6.0151 2.4087
-6.4229 -2.6831 -2.1070
-0.8541 -3.0841 6.5308
Nd Cd Pd
2 6 6
Cartesian
0.0000 0.0000 0.0000
-5.2900 0.1239 3.4162
-6.4687 0.9952 -0.3759
-3.2572 2.3368 0.6776
-3.8520 -3.6547 3.8446
-1.2528 -0.0383 3.8676
-2.9042 2.9693 5.0719
-3.4250 -2.1126 0.5792
-5.2442 -3.5544 1.6851
-5.6887 3.1698 0.7530
-1.8650 2.2365 2.8370
-4.0372 0.1622 -0.4514
-2.0328 -2.2128 2.7386
-2.2920 0.6945 6.1024
```

formation energy from the elements	169	meV/atom
calculated total energy	-3.130	eV per atom
Fermi-level density of states	6.2	states/eV per cell
calculated volume	27.48	A^3/atom
distance to the lowest polymorph of the same formula	596	meV/atom
space-group type	Pm-3n

***

No. 8
The following is a DFT calculation (PBE) of a relaxed structure of ErGa2Tc.

Cell and atoms, written as POSCAR:
```
ErGa2Tc
1.0
-4.0321 0.7978 1.0999
0.2605 -5.1973 4.7250
3.0954 6.3103 6.7704
Ga Tc Er
8 4 4
Cartesian
2.0446 5.3079 7.7604
0.1140 0.1705 4.4094
-0.4347 5.3292 6.8858
-0.2414 -3.4184 5.7095
-1.4902 1.9757 5.4488
-0.7902 1.7403 8.1858
0.8141 -0.0649 7.1465
-2.7208 -3.3972 4.8349
-0.6761 -2.2139 3.2424
0.3585 2.7595 3.4278
-1.0347 -0.8488 9.1675
-0.0001 4.1246 9.3529
1.7403 1.1867 9.6343
-2.4165 0.7241 2.9610
1.1763 2.9010 6.3229
-1.8524 -0.9902 6.2724
```

formation energy from the elements	-465	meV/atom
calculated total energy	-5.711	eV per atom
Fermi-level density of states	5.2	states/eV per cell
calculated volume	18.24	A^3/atom
distance to the lowest polymorph of the same formula	0	meV/atom
space-group type	Pnma

***

No. 9
The following is a DFT calculation (PBE) of a relaxed structure of HfAl3Rh.

Cell and atoms, written as POSCAR:
```
HfAl3Rh
1.0
-3.4815 2.5390 -1.6254
-2.8993 -3.5003 0.7425
-0.8260 1.5846 4.2445
Al Hf Rh
3 1 1
Cartesian
-0.4130 0.7923 2.1223
-1.4497 -1.7501 0.3713
-1.7408 1.2695 -0.8127
-3.6034 0.3117 1.6808
0.0000 0.0000 0.0000
```

formation energy from the elements	1	meV/atom
calculated total energy	-5.706	eV per atom
Fermi-level density of states	3.9	states/eV per cell
calculated volume	19.54	A^3/atom
distance to the lowest polymorph of the same formula	571	meV/atom
space-group type	Pm-3m

***

No. 10
The following is a DFT calculation (PBE) of a relaxed structure of CaPr6YHo2.

Cell and atoms, written as POSCAR:
```
CaPr6YHo2
1.0
-9.8941 0.7386 0.4916
-0.0862 -5.6279 -7.1356
0.8382 -3.5383 8.3292
Ho Pr Y Ca
4 12 2 2
Cartesian
-0.2907 -2.3402 -0.4632
-3.9975 -6.6674 0.3430
-5.1446 -1.7602 1.3422
-8.8513 -6.0874 2.1484
-2.9041 -6.7715 -3.1820
-8.2905 -2.7446 2.5187
-9.2589 -5.1138 -3.8944
-3.7106 -4.1240 5.9178
-7.3515 -5.2727 5.4225
-0.8515 -5.6830 -0.8335
-5.4314 -4.3035 -4.2327
-5.6052 -4.8767 2.6463
0.1168 -3.3138 5.5796
-3.5368 -3.5509 -0.9611
-6.2379 -1.6561 4.8672
-1.7905 -3.1549 -3.7373
-2.5349 -5.3872 -6.5982
-6.6071 -3.0403 8.2833
-2.0071 -4.1942 2.2313
-7.1349 -4.2334 -0.5461
```

formation energy from the elements	128	meV/atom
calculated total energy	-4.502	eV per atom
Fermi-level density of states	30.6	states/eV per cell
calculated volume	35.61	A^3/atom
space-group type	C2/c

***

No. 11
The following is a DFT calculation (PBE) of a relaxed structure of La5Tb4Ho2.

Cell and atoms, written as POSCAR:
```
La5Tb4Ho2
1.0
3.5487 0.0000 0.0000
0.0000 9.3330 0.0000
-1.7743 -4.6665 11.8695
Tb La Ho
4 5 2
Cartesian
0.0000 0.0000 9.5755
0.0000 6.4166 0.0000
0.0000 2.9165 0.0000
1.7743 4.6665 2.2939
1.7743 0.0000 0.0000
0.0000 1.9006 3.5267
1.7743 -2.7659 8.3427
0.0000 7.4324 3.5267
1.7743 2.7659 8.3427
1.7743 4.6665 5.4706
0.0000 0.0000 6.3989
```

formation energy from the elements	190	meV/atom
calculated total energy	-4.566	eV per atom
Fermi-level density of states	18.0	states/eV per cell
calculated volume	35.74	A^3/atom
distance to the lowest polymorph of the same formula	72	meV/atom
space-group type	Immm

***

No. 12
The following is a DFT calculation (PBE) of a relaxed structure of DyCo5Ge3.

Cell and atoms, written as POSCAR:
```
DyCo5Ge3
1.0
3.8161 0.0000 0.0000
-1.9080 6.0785 0.0000
0.0000 0.0000 11.1899
Ge Co Dy
6 10 2
Cartesian
0.0000 1.2654 8.3924
1.9080 1.5006 5.0137
0.0000 4.5779 6.1762
0.0000 4.5779 10.6086
1.9080 1.5006 0.5812
1.9080 4.8131 2.7975
1.9080 3.7626 4.8963
0.0000 2.3159 10.4912
0.0000 5.4641 4.0057
0.0000 0.0000 5.5949
1.9080 0.6144 7.1841
0.0000 5.4641 1.5892
1.9080 0.6144 9.6006
0.0000 2.3159 6.2936
0.0000 0.0000 0.0000
1.9080 3.7626 0.6987
0.0000 2.2569 2.7975
1.9080 3.8216 8.3924
```

formation energy from the elements	-310	meV/atom
calculated total energy	-6.308	eV per atom
Fermi-level density of states	18.4	states/eV per cell
calculated volume	14.42	A^3/atom
space-group type	Cmcm

***

> What is the calculated volume in the tenth record?

35.61 A^3/atom

***

> Look up the calculated volume of the tenth one.

35.61 A^3/atom

***

> Number 10 is which compound?

CaPr6YHo2